Entry 1:
BaMgSe | PBE | optimized geometry

Cell lengths 4.4025, 4.4025, 6.3977 Å; angles 90.00, 90.00, 120.00 degrees
Element x y z (fractional)
1 Ba 0.0000 0.0000 0.0000
2 Mg 0.6667 0.3333 0.4573
3 Se 0.3333 0.6667 0.6770

Values from the calculation:
The calculation puts the raw formation energy at -936 meV/atom. The calculation puts the total energy at -3.269 eV/atom. For the energy relative to the lowest polymorph listed for this composition, the calculation gives 255.4 meV/atom.

***

Entry 2:
BaMgSe | PBE | optimized geometry

Cell lengths 6.7392, 6.7392, 6.7392 Å; angles 146.89, 146.89, 47.53 degrees
Element x y z (fractional)
1 Ba 0.0000 0.0000 0.0000
2 Mg 0.7155 0.7155 0.0000
3 Se 0.3236 0.3236 0.0000

Values from the calculation:
The calculation puts the raw formation energy at -868 meV/atom. The calculation puts the total energy at -3.202 eV/atom. For the energy relative to the lowest polymorph listed for this composition, the calculation gives 323.1 meV/atom.

***

Entry 3:
BaMg2Se | PBE | optimized geometry

Cell lengths 4.3863, 4.0990, 7.2428 Å; angles 90.00, 107.55, 90.00 degrees
Element x y z (fractional)
1 Ba 0.0000 0.0000 0.0000
2 Mg 0.3093 0.5000 0.6201
3 Mg 0.7364 0.0000 0.4754
4 Se 0.5971 0.5000 0.1963

Values from the calculation:
The calculation puts the raw formation energy at -689 meV/atom. The calculation puts the total energy at -2.838 eV/atom.

***

Entry 4:
BaMgSe2 | PBE | optimized geometry

Cell lengths 6.9075, 6.9075, 6.9075 Å; angles 113.39, 113.39, 101.89 degrees
Element x y z (fractional)
1 Ba 0.0000 0.0000 0.0000
2 Ba 0.7500 0.2500 0.5000
3 Mg 0.2500 0.7500 0.5000
4 Mg 0.5000 0.5000 0.0000
5 Se 0.1915 0.1250 0.5665
6 Se 0.3750 0.8085 0.9335
7 Se 0.5585 0.6250 0.4335
8 Se 0.8750 0.4415 0.0665

Values from the calculation:
The calculation puts the raw formation energy at -1529 meV/atom. The calculation puts the total energy at -4.150 eV/atom.

***

Entry 5:
BaMgSe | PBE | optimized geometry

Cell lengths 5.4673, 5.4673, 5.4673 Å; angles 60.00, 60.00, 60.00 degrees
Element x y z (fractional)
1 Ba 0.0000 0.0000 0.0000
2 Mg 0.5000 0.5000 0.5000
3 Se 0.7500 0.7500 0.7500

Values from the calculation:
The calculation puts the raw formation energy at -696 meV/atom. The calculation puts the total energy at -3.030 eV/atom. For the energy relative to the lowest polymorph listed for this composition, the calculation gives 494.5 meV/atom.

***

Entry 6:
BaMgSe2 | PBE | optimized geometry

Cell lengths 4.2856, 3.8341, 7.4593 Å; angles 90.00, 92.60, 90.00 degrees
Element x y z (fractional)
1 Ba 0.0000 0.0000 0.0000
2 Mg 0.5000 0.0000 0.5000
3 Se 0.4751 0.5000 0.7461
4 Se 0.5249 0.5000 0.2539

Values from the calculation:
The calculation puts the raw formation energy at -1428 meV/atom. The calculation puts the total energy at -4.050 eV/atom.

***

Entry 7:
BaMgSe2 | PBE | optimized geometry

Cell lengths 7.5027, 4.4158, 14.0799 Å; angles 90.00, 90.00, 90.00 degrees
Element x y z (fractional)
1 Ba 0.1188 0.2500 0.1407
2 Ba 0.3812 0.7500 0.6407
3 Ba 0.6188 0.2500 0.3593
4 Ba 0.8812 0.7500 0.8593
5 Mg 0.0906 0.7500 0.3919
6 Mg 0.4094 0.2500 0.8919
7 Mg 0.5906 0.7500 0.1081
8 Mg 0.9094 0.2500 0.6081
9 Se 0.1304 0.2500 0.7519
10 Se 0.2108 0.2500 0.4755
11 Se 0.2892 0.7500 0.9755
12 Se 0.3696 0.7500 0.2519
13 Se 0.6304 0.2500 0.7481
14 Se 0.7108 0.2500 0.0245
15 Se 0.7892 0.7500 0.5245
16 Se 0.8696 0.7500 0.2481

Values from the calculation:
The calculation puts the raw formation energy at -1628 meV/atom. The calculation puts the total energy at -4.250 eV/atom.

***

Entry 8:
BaMg2Se | PBE | optimized geometry

Cell lengths 6.1214, 6.1214, 6.1214 Å; angles 138.51, 122.29, 73.54 degrees
Element x y z (fractional)
1 Ba 0.0000 0.0000 0.0000
2 Mg 0.2958 0.7958 0.5000
3 Mg 0.5807 0.5807 0.0000
4 Se 0.7402 0.2402 0.5000

Values from the calculation:
The calculation puts the raw formation energy at -519 meV/atom. The calculation puts the total energy at -2.668 eV/atom.